A plane-wave DFT calculation with PBE-GGA was carried out for Li2TaPt after structural relaxation.

## Properties
Fermi-level density of states: 2.22 states/eV per cell
Formation energy: -0.136 eV/atom
SG: P4mm (99)
Energy above the most stable polymorph in this dataset: 124 meV per atom

a b c (Å): 3.3452 3.3452 6.0391
angles (deg): 90.00 90.00 90.00
Positions (direct):
Li (0.0000, 0.0000, 0.0000)
Li (0.5000, 0.5000, 0.2118)
Ta (0.5000, 0.5000, 0.6875)
Pt (0.0000, 0.0000, 0.5004)

---

A plane-wave DFT calculation with PBE-GGA was carried out for Na2Te4Pd after structural relaxation.

## Properties
Fermi-level density of states: 6.63 states/eV per cell
SG: I4/mmm (139)
E_form (uncorrected): -1.472 eV per formula unit

a b c (Å): 8.5481 8.5481 8.5481
angles (deg): 142.52 142.52 54.05
Positions (direct):
Na (0.1246, 0.1246, 0.0000)
Na (0.8754, 0.8754, 0.0000)
Te (0.0000, 0.5000, 0.5000)
Te (0.3296, 0.3296, 0.0000)
Te (0.5000, 0.0000, 0.5000)
Te (0.6704, 0.6704, 0.0000)
Pd (0.5000, 0.5000, 0.0000)

---

A plane-wave DFT calculation with PBE-GGA was carried out for CsRe3Tc after structural relaxation.

## Properties
Fermi-level density of states: 5.97 states/eV per cell
Formation energy: 2.315 eV/atom
SG: Pm-3m (221)
Energy above the most stable polymorph in this dataset: 0 meV per atom

a b c (Å): 4.8844 4.8844 4.8844
angles (deg): 90.00 90.00 90.00
Positions (direct):
Cs (0.0000, 0.0000, 0.0000)
Re (0.0000, 0.5000, 0.5000)
Re (0.5000, 0.0000, 0.5000)
Re (0.5000, 0.5000, 0.0000)
Tc (0.5000, 0.5000, 0.5000)

---

A plane-wave DFT calculation with PBE-GGA was carried out for Li3AlAg5 after structural relaxation.

## Properties
Fermi-level density of states: 5.93 states/eV per cell
Formation energy: -0.066 eV/atom
SG: I4/mcm (140)

a b c (Å): 8.1505 8.1505 8.1505
angles (deg): 131.30 131.30 71.34
Positions (direct):
Li (0.1125, 0.6125, 0.7250)
Li (0.2500, 0.2500, 0.0000)
Li (0.3875, 0.1125, 0.5000)
Li (0.6125, 0.8875, 0.5000)
Li (0.7500, 0.7500, 0.0000)
Li (0.8875, 0.3875, 0.2750)
Al (0.2500, 0.7500, 0.5000)
Al (0.7500, 0.2500, 0.5000)
Ag (0.0000, 0.0000, 0.0000)
Ag (0.0815, 0.1363, 0.5000)
Ag (0.1363, 0.6363, 0.0548)
Ag (0.3637, 0.4185, 0.5000)
Ag (0.4185, 0.9185, 0.0548)
Ag (0.5000, 0.5000, 0.0000)
Ag (0.5815, 0.0815, 0.9452)
Ag (0.6363, 0.5815, 0.5000)
Ag (0.8637, 0.3637, 0.9452)
Ag (0.9185, 0.8637, 0.5000)

---

A plane-wave DFT calculation with PBE-GGA was carried out for Te3MoWSe after structural relaxation.

## Properties
SG: P3m1 (156)
E_form (uncorrected): -1.679 eV per formula unit
Energy above the most stable polymorph in this dataset: 0 meV per atom

a b c (Å): 3.4925 3.4925 29.5159
angles (deg): 90.00 90.00 120.00
Positions (direct):
Te (0.0000, 0.0000, 0.0000)
Te (0.0000, 0.0000, 0.1242)
Te (0.0000, 0.0000, 0.4910)
Te (0.0000, 0.0000, 0.6152)
Te (0.6667, 0.3333, 0.7441)
Te (0.6667, 0.3333, 0.8691)
Mo (0.6667, 0.3333, 0.0621)
Mo (0.6667, 0.3333, 0.5531)
W (0.0000, 0.0000, 0.3081)
W (0.0000, 0.0000, 0.8066)
Se (0.6667, 0.3333, 0.2531)
Se (0.6667, 0.3333, 0.3631)

---

A plane-wave DFT calculation with PBE-GGA was carried out for Y3ZrTe after structural relaxation.

## Properties
Fermi-level density of states: 3.68 states/eV per cell
SG: Pm-3m (221)
E_form (uncorrected): 2.100 eV per formula unit

a b c (Å): 5.5469 5.5469 5.5469
angles (deg): 90.00 90.00 90.00
Positions (direct):
Y (0.0000, 0.0000, 0.5000)
Y (0.0000, 0.5000, 0.0000)
Y (0.5000, 0.0000, 0.0000)
Zr (0.0000, 0.0000, 0.0000)
Te (0.5000, 0.5000, 0.5000)

---

A plane-wave DFT calculation with PBE-GGA was carried out for YTm4Mg after structural relaxation.

## Properties
Fermi-level density of states: 19.47 states/eV per cell
Formation energy: 0.037 eV/atom
SG: C2/c (15)
Energy above the most stable polymorph in this dataset: 41 meV per atom

a b c (Å): 6.0290 6.0290 11.7149
angles (deg): 105.13 105.13 60.04
Positions (direct):
Y (0.0000, 0.5000, 0.0000)
Y (0.5000, 0.0000, 0.5000)
Tm (0.1660, 0.6691, 0.4992)
Tm (0.2484, 0.4203, 0.7497)
Tm (0.3309, 0.8340, 0.0008)
Tm (0.4203, 0.2484, 0.2497)
Tm (0.5797, 0.7516, 0.7503)
Tm (0.6691, 0.1660, 0.9992)
Tm (0.7516, 0.5797, 0.2503)
Tm (0.8340, 0.3309, 0.5008)
Mg (0.0851, 0.9149, 0.2500)
Mg (0.9149, 0.0851, 0.7500)

---

A plane-wave DFT calculation with PBE-GGA was carried out for RuRh2Pb after structural relaxation.

## Properties
Fermi-level density of states: 3.71 states/eV per cell
Formation energy: 0.208 eV/atom
SG: I-4m2 (119)

a b c (Å): 4.8167 4.8167 4.8167
angles (deg): 129.63 129.63 73.99
Positions (direct):
Ru (0.0000, 0.0000, 0.0000)
Rh (0.5000, 0.5000, 0.0000)
Rh (0.7500, 0.2500, 0.5000)
Pb (0.2500, 0.7500, 0.5000)

---

A plane-wave DFT calculation with PBE-GGA was carried out for PmTlIn2 after structural relaxation.

## Properties
Fermi-level density of states: 3.13 states/eV per cell
Formation energy: -0.321 eV/atom
SG: I4/mmm (139)
Energy above the most stable polymorph in this dataset: 83 meV per atom

a b c (Å): 6.0743 6.0743 6.0743
angles (deg): 135.46 135.46 64.81
Positions (direct):
Pm (0.0000, 0.0000, 0.0000)
Tl (0.5000, 0.5000, 0.0000)
In (0.2500, 0.7500, 0.5000)
In (0.7500, 0.2500, 0.5000)

---

A plane-wave DFT calculation with PBE-GGA was carried out for TcB3F after structural relaxation.

## Properties
Fermi-level density of states: 2.82 states/eV per cell
SG: Pm-3m (221)
E_form (uncorrected): 5.331 eV per formula unit
Energy above the most stable polymorph in this dataset: 0 meV per atom

a b c (Å): 4.0789 4.0789 4.0789
angles (deg): 90.00 90.00 90.00
Positions (direct):
Tc (0.0000, 0.0000, 0.0000)
B (0.0000, 0.0000, 0.5000)
B (0.0000, 0.5000, 0.0000)
B (0.5000, 0.0000, 0.0000)
F (0.5000, 0.5000, 0.5000)

---

A plane-wave DFT calculation with PBE-GGA was carried out for Ac3MgH after structural relaxation.

## Properties
Fermi-level density of states: 6.57 states/eV per cell
SG: Pm-3m (221)
Final energy: -3.553 eV per atom

a b c (Å): 5.4313 5.4313 5.4313
angles (deg): 90.00 90.00 90.00
Positions (direct):
Ac (0.0000, 0.0000, 0.5000)
Ac (0.0000, 0.5000, 0.0000)
Ac (0.5000, 0.0000, 0.0000)
Mg (0.5000, 0.5000, 0.5000)
H (0.0000, 0.0000, 0.0000)

---

A plane-wave DFT calculation with PBE-GGA was carried out for Sn2HgIr2 after structural relaxation.

## Properties
Fermi-level density of states: 1.37 states/eV per cell
Formation energy: 0.008 eV/atom
SG: P4/mbm (127)
Energy above the most stable polymorph in this dataset: 0 meV per atom

a b c (Å): 7.5659 7.5659 3.3592
angles (deg): 90.00 90.00 90.00
Positions (direct):
Sn (0.1518, 0.3482, 0.0000)
Sn (0.3482, 0.8482, 0.0000)
Sn (0.6518, 0.1518, 0.0000)
Sn (0.8482, 0.6518, 0.0000)
Hg (0.0000, 0.0000, 0.5000)
Hg (0.5000, 0.5000, 0.5000)
Ir (0.1434, 0.6434, 0.5000)
Ir (0.3566, 0.1434, 0.5000)
Ir (0.6434, 0.8566, 0.5000)
Ir (0.8566, 0.3566, 0.5000)